# LuNpW

An optimized crystal structure of LuNpW (GGA-PBE, OQMD).

Lattice parameters (Å, degrees): 4.690 4.690 4.690 60.00 60.00 60.00
Site moments in Bohr magnetons follow the coordinates.
Element x y z (fractional)
Lu 0.000 0.000 0.000  0.00
Np 0.500 0.500 0.500  3.33
W 0.250 0.250 0.250  -0.52

Size of the total moment: 2.94 μB per formula unit
E_form: 83.79 kJ/mol of atoms
Uncorrected energy: -9.22 eV per atom